Entry 1:
Material: RbBrOF2
Method: DFT, PBE-GGA
State: relaxed

```
5
Lattice="4.926 0.000 0.000 0.000 4.926 0.000 0.000 0.000 5.494" Properties=species:S:1:pos:R:3 pbc="T T T"
Rb 0.000 0.000 0.000
Br 2.463 2.463 2.747
O 0.000 0.000 2.747
F 0.000 2.463 0.000
F 2.463 0.000 0.000
```

Output
Distance to the lowest polymorph of the same formula in meV/atom: 939.4
Magnetization in Bohr magnetons per cell: 4.00
Electronic total energy in eV per atom: -2.37
E_form (uncorrected) in eV per atom: -0.11

---

Entry 2:
Material: RbBrOF2
Method: DFT, PBE-GGA
State: relaxed

```
5
Lattice="4.879 0.000 0.000 0.000 4.879 0.000 0.000 0.000 3.791" Properties=species:S:1:pos:R:3 pbc="T T T"
Rb 0.000 0.000 0.000
Br 2.439 2.439 1.896
O 2.439 2.439 0.000
F 0.000 2.439 1.896
F 2.439 0.000 1.896
```

Output
Distance to the lowest polymorph of the same formula in meV/atom: 0.0
Magnetization in Bohr magnetons per cell: 0.00
Electronic total energy in eV per atom: -3.31
E_form (uncorrected) in eV per atom: -1.04

---

Entry 3:
Material: Rb2BrOF6
Method: DFT, PBE-GGA
State: relaxed

```
10
Lattice="-3.027 3.027 4.685 3.027 -3.027 4.685 3.027 3.027 -4.685" Properties=species:S:1:pos:R:3 pbc="T T T"
Rb 3.027 0.000 2.342
Rb 0.000 3.027 2.342
Br 0.000 0.000 0.000
O 0.000 0.000 4.685
F 0.000 0.000 1.919
F 1.725 1.725 0.000
F 1.302 -1.302 4.685
F -1.302 1.302 4.685
F 1.302 1.302 4.685
F 0.000 0.000 7.450
```

Output
Magnetization in Bohr magnetons per cell: 0.00
Electronic total energy in eV per atom: -3.22
E_form (uncorrected) in eV per atom: -1.24

---

Entry 4:
Material: Rb6Br2OF2
Method: DFT, PBE-GGA
State: relaxed

```
11
Lattice="3.697 -6.408 0.000 3.697 6.408 0.000 -2.569 0.000 7.928" Properties=species:S:1:pos:R:3 pbc="T T T"
Rb 1.143 2.107 1.503
Rb -0.281 0.000 6.456
Rb 1.143 -2.107 1.503
Rb 3.682 2.107 6.424
Rb 5.106 0.000 1.471
Rb 3.682 -2.107 6.424
Br 2.413 4.229 3.964
Br 2.413 -4.229 3.964
O 0.000 0.000 0.000
F 3.697 2.129 0.000
F 3.697 -2.129 0.000
```

Output
Magnetization in Bohr magnetons per cell: 0.14
Electronic total energy in eV per atom: -3.46
E_form (uncorrected) in eV per atom: -1.84

---

Entry 5:
Material: Rb6Br3OF2
Method: DFT, PBE-GGA
State: relaxed

```
12
Lattice="3.903 -6.758 0.000 3.903 6.758 0.000 -2.599 0.000 7.457" Properties=species:S:1:pos:R:3 pbc="T T T"
Rb -0.024 2.301 5.925
Rb 1.248 0.000 1.513
Rb -0.024 -2.301 5.925
Rb 5.232 2.301 1.533
Rb 3.960 0.000 5.944
Rb 5.232 -2.301 1.533
Br -1.299 0.000 3.729
Br 2.604 2.209 3.729
Br 2.604 -2.209 3.729
O 3.903 0.000 0.000
F 3.903 4.498 0.000
F 3.903 -4.498 0.000
```

Output
Magnetization in Bohr magnetons per cell: 1.00
Electronic total energy in eV per atom: -3.44
E_form (uncorrected) in eV per atom: -1.82

---

Entry 6:
Material: Rb5Br2OF
Method: DFT, PBE-GGA
State: relaxed

```
9
Lattice="-2.663 3.818 8.320 2.663 -3.818 8.320 2.663 3.818 -8.320" Properties=species:S:1:pos:R:3 pbc="T T T"
Rb 0.000 0.000 0.000
Rb 2.663 1.910 -1.949
Rb 2.663 1.910 1.949
Rb 0.000 1.908 6.371
Rb 0.000 1.908 10.270
Br 0.000 0.000 3.433
Br 0.000 0.000 13.208
O 2.663 0.000 0.000
F 0.000 3.818 0.000
```

Output
Magnetization in Bohr magnetons per cell: 0.00
Electronic total energy in eV per atom: -3.23
E_form (uncorrected) in eV per atom: -1.56